Record 1
Here is a relaxed Tb4Dy5Th2 crystal from the Alexandria database. Energies are from GGA-PBE.

Values from the calculation:
DFT formation energy   0.14 eV/atom
Uncorrected energy   -4.982 eV per atom
V   358.79 Å³ per cell
Space group   P2/m (10)
Offset from the most stable computed form   0.0 meV/atom

Geometry as CIF:
```
data_Tb4Dy5Th2
_symmetry_space_group_name_H-M 'P 1'
_symmetry_Int_Tables_number 1
_symmetry_space_group_name_Hall 'P 1'
_cell_length_a 8.7912
_cell_length_b 3.4827
_cell_length_c 11.7510
_cell_angle_alpha 90.00
_cell_angle_beta 94.24
_cell_angle_gamma 90.00
loop_
_atom_site_label
_atom_site_type_symbol
_atom_site_fract_x
_atom_site_fract_y
_atom_site_fract_z
Tb1 Tb 0.1588 0.0000 0.3931
Tb2 Tb 0.3060 0.0000 0.9545
Tb3 Tb 0.6940 0.0000 0.0455
Tb4 Tb 0.8412 0.0000 0.6069
Dy1 Dy 0.1976 0.5000 0.6623
Dy2 Dy 0.4273 0.5000 0.2117
Dy3 Dy 0.5000 0.5000 0.5000
Dy4 Dy 0.5727 0.5000 0.7883
Dy5 Dy 0.8024 0.5000 0.3377
Th1 Th 0.0361 0.5000 0.1343
Th2 Th 0.9639 0.5000 0.8657
```

=====

Record 2
Here is a relaxed ZnSn2Se2 crystal from the Alexandria database. Energies are from GGA-PBE.

Values from the calculation:
Uncorrected energy   -3.354 eV per atom
V   257.17 Å³ per cell
Space group   P4/mbm (127)
Offset from the most stable computed form   0.0 meV/atom

Geometry as CIF:
```
data_ZnSn2Se2
_symmetry_space_group_name_H-M 'P 1'
_symmetry_Int_Tables_number 1
_symmetry_space_group_name_Hall 'P 1'
_cell_length_a 7.9869
_cell_length_b 7.9869
_cell_length_c 4.0314
_cell_angle_alpha 90.00
_cell_angle_beta 90.00
_cell_angle_gamma 90.00
loop_
_atom_site_label
_atom_site_type_symbol
_atom_site_fract_x
_atom_site_fract_y
_atom_site_fract_z
Zn1 Zn 0.0000 0.0000 0.0000
Zn2 Zn 0.5000 0.5000 0.0000
Sn1 Sn 0.1549 0.3451 0.0000
Sn2 Sn 0.3451 0.8451 0.0000
Sn3 Sn 0.6549 0.1549 0.0000
Sn4 Sn 0.8451 0.6549 0.0000
Se1 Se 0.1669 0.6669 0.5000
Se2 Se 0.3331 0.1669 0.5000
Se3 Se 0.6669 0.8331 0.5000
Se4 Se 0.8331 0.3331 0.5000
```

=====

Record 3
Here is a relaxed NiHIN2 crystal from the Alexandria database. Energies are from GGA-PBE.

Values from the calculation:
Uncorrected energy   -4.080 eV per atom
V   101.44 Å³ per cell
Space group   P4/mmm (123)
Offset from the most stable computed form   0.0 meV/atom

Geometry as CIF:
```
data_NiHIN2
_symmetry_space_group_name_H-M 'P 1'
_symmetry_Int_Tables_number 1
_symmetry_space_group_name_Hall 'P 1'
_cell_length_a 3.4749
_cell_length_b 3.4749
_cell_length_c 8.4004
_cell_angle_alpha 90.00
_cell_angle_beta 90.00
_cell_angle_gamma 90.00
loop_
_atom_site_label
_atom_site_type_symbol
_atom_site_fract_x
_atom_site_fract_y
_atom_site_fract_z
Ni1 Ni 0.0000 0.0000 0.0000
H1 H 0.5000 0.5000 0.5000
I1 I 0.0000 0.0000 0.5000
N1 N 0.0000 0.5000 0.0000
N2 N 0.5000 0.0000 0.0000
```